[1]
An optimized crystal structure of Ba2SrMo. Source: the Alexandria database, functional PBE.

Lattice parameters (Å, degrees): 7.695 7.695 7.695 149.71 131.89 57.91
Site moments in Bohr magnetons follow the coordinates.
Atoms (fractional coordinates):
Ba  0.558  0.558  0.000  -0.05
Ba  0.942  0.942  0.000  -0.05
Sr  0.250  0.750  0.500  0.00
Mo  0.750  0.250  0.500  2.42

## Properties
energy above the most stable polymorph in this dataset	37	meV per atom
space group	Immm (71)
ΔE_f	0.81	eV per atom

=====

[2]
An optimized crystal structure of Ba2SrMo2. Source: the Alexandria database, functional PBE.

Lattice parameters (Å, degrees): 5.228 5.228 8.173 71.35 71.35 90.00
Atoms (fractional coordinates):
Mo  0.430  0.430  0.140
Mo  0.570  0.570  0.860
Ba  0.750  0.250  0.500
Ba  0.250  0.750  0.500
Sr  0.000  0.000  0.000

## Properties
energy above the most stable polymorph in this dataset	118	meV per atom
space group	I4/mmm (139)
ΔE_f	0.99	eV per atom

=====

[3]
An optimized crystal structure of BaSr3Mo. Source: the Alexandria database, functional PBE.

Lattice parameters (Å, degrees): 6.159 6.159 6.159 90.00 90.00 90.00
Site moments in Bohr magnetons follow the coordinates.
Atoms (fractional coordinates):
Ba  0.500  0.500  0.500  -0.09
Mo  0.000  0.000  0.000  2.03
Sr  0.000  0.500  0.000  0.02
Sr  0.000  0.000  0.500  0.00
Sr  0.500  0.000  0.000  0.02

## Properties
energy above the most stable polymorph in this dataset	0	meV per atom
space group	Pm-3m (221)
ΔE_f	0.64	eV per atom

=====

[4]
An optimized crystal structure of BaSr2Mo. Source: the Alexandria database, functional PBE.

Lattice parameters (Å, degrees): 12.232 12.232 12.232 18.79 18.79 18.79
Site moments in Bohr magnetons follow the coordinates.
Atoms (fractional coordinates):
Mo  0.750  0.750  0.750  2.29
Ba  0.250  0.250  0.250  0.07
Sr  0.480  0.480  0.480  0.01
Sr  0.020  0.020  0.020  0.01

## Properties
energy above the most stable polymorph in this dataset	135	meV per atom
space group	R-3m (166)
ΔE_f	0.89	eV per atom

=====

[5]
An optimized crystal structure of Ba2Sr2Mo. Source: the Alexandria database, functional PBE.

Lattice parameters (Å, degrees): 4.568 4.568 11.062 78.09 78.09 90.00
Site moments in Bohr magnetons follow the coordinates.
Atoms (fractional coordinates):
Ba  0.750  0.250  0.500  -0.01
Ba  0.250  0.750  0.500  -0.01
Mo  0.000  0.000  0.000  0.45
Sr  0.418  0.418  0.164  0.00
Sr  0.582  0.582  0.836  0.00

## Properties
energy above the most stable polymorph in this dataset	516	meV per atom
space group	I4/mmm (139)
ΔE_f	1.31	eV per atom

=====

[6]
An optimized crystal structure of Ba2SrMo. Source: the Alexandria database, functional PBE.

Lattice parameters (Å, degrees): 6.145 6.145 6.145 60.00 60.00 60.00
Site moments in Bohr magnetons follow the coordinates.
Atoms (fractional coordinates):
Ba  0.250  0.250  0.250  -0.04
Ba  0.750  0.750  0.750  -0.04
Mo  0.000  0.000  0.000  2.81
Sr  0.500  0.500  0.500  -0.08

## Properties
energy above the most stable polymorph in this dataset	114	meV per atom
space group	Fm-3m (225)
ΔE_f	0.89	eV per atom

=====

[7]
An optimized crystal structure of BaSr2Mo. Source: the Alexandria database, functional PBE.

Lattice parameters (Å, degrees): 6.044 6.044 6.044 119.95 119.95 90.09
Site moments in Bohr magnetons follow the coordinates.
Atoms (fractional coordinates):
Mo  0.750  0.250  0.500  2.78
Sr  0.250  0.750  0.500  -0.08
Sr  0.000  0.000  0.000  -0.02
Ba  0.500  0.500  0.000  -0.03

## Properties
energy above the most stable polymorph in this dataset	108	meV per atom
space group	I-4m2 (119)
ΔE_f	0.86	eV per atom

=====

[8]
An optimized crystal structure of BaSr2Mo. Source: the Alexandria database, functional PBE.

Lattice parameters (Å, degrees): 5.449 5.449 5.534 90.00 90.00 90.04
Site moments in Bohr magnetons follow the coordinates.
Atoms (fractional coordinates):
Mo  0.000  0.500  0.500  3.11
Sr  0.000  0.000  0.000  -0.04
Sr  0.500  0.500  0.000  -0.04
Ba  0.500  0.000  0.500  -0.05

## Properties
energy above the most stable polymorph in this dataset	144	meV per atom
space group	P4/mmm (123)
ΔE_f	0.90	eV per atom

=====

[9]
An optimized crystal structure of BaSr4Mo. Source: the Alexandria database, functional PBE.

Lattice parameters (Å, degrees): 7.536 7.536 7.536 60.00 60.00 60.00
Site moments in Bohr magnetons follow the coordinates.
Atoms (fractional coordinates):
Sr  0.374  0.877  0.374  0.01
Sr  0.374  0.374  0.374  0.01
Sr  0.374  0.374  0.877  0.01
Sr  0.877  0.374  0.374  0.01
Mo  0.000  0.000  0.000  3.66
Ba  0.750  0.750  0.750  -0.02

## Properties
space group	F-43m (216)
ΔE_f	0.87	eV per atom

=====

[10]
An optimized crystal structure of Ba2SrMo2. Source: the Alexandria database, functional PBE.

Lattice parameters (Å, degrees): 9.747 9.747 4.023 90.00 90.00 90.00
Atoms (fractional coordinates):
Mo  0.576  0.076  0.000
Mo  0.424  0.924  0.000
Mo  0.076  0.424  0.000
Mo  0.924  0.576  0.000
Sr  0.000  0.000  0.000
Sr  0.500  0.500  0.000
Ba  0.302  0.198  0.500
Ba  0.802  0.302  0.500
Ba  0.198  0.698  0.500
Ba  0.698  0.802  0.500

## Properties
energy above the most stable polymorph in this dataset	0	meV per atom
space group	P4/mbm (127)
ΔE_f	0.87	eV per atom

=====

[11]
An optimized crystal structure of BaSr2Mo. Source: the Alexandria database, functional PBE.

Lattice parameters (Å, degrees): 8.384 8.384 8.468 60.33 60.33 90.00
Site moments in Bohr magnetons follow the coordinates.
Atoms (fractional coordinates):
Sr  0.375  0.624  0.750  0.01
Sr  0.374  0.625  0.250  0.01
Sr  0.875  0.626  0.750  0.03
Sr  0.376  0.125  0.250  0.02
Mo  0.250  0.750  0.500  0.42
Mo  0.500  0.500  0.000  0.42
Ba  0.000  0.000  0.000  -0.01
Ba  0.750  0.250  0.500  -0.01

## Properties
energy above the most stable polymorph in this dataset	635	meV per atom
space group	I4_1/amd (141)
ΔE_f	1.39	eV per atom

=====

[12]
An optimized crystal structure of BaSrMo3. Source: the Alexandria database, functional PBE.

Lattice parameters (Å, degrees): 5.172 5.172 5.172 90.00 90.00 90.00
Site moments in Bohr magnetons follow the coordinates.
Atoms (fractional coordinates):
Mo  0.500  0.000  0.000  1.51
Mo  0.000  0.000  0.500  1.27
Mo  0.000  0.500  0.000  1.41
Ba  0.500  0.500  0.500  0.08
Sr  0.000  0.000  0.000  0.05

## Properties
energy above the most stable polymorph in this dataset	95	meV per atom
space group	Pm-3m (221)
ΔE_f	2.64	eV per atom

=====

[13]
An optimized crystal structure of Ba2SrMo. Source: the Alexandria database, functional PBE.

Lattice parameters (Å, degrees): 4.029 4.054 11.344 69.04 90.00 90.00
Site moments in Bohr magnetons follow the coordinates.
Atoms (fractional coordinates):
Ba  0.000  0.563  0.437  -0.01
Ba  0.000  0.937  0.063  -0.01
Mo  0.500  0.250  0.250  2.48
Sr  0.500  0.750  0.750  -0.05

## Properties
energy above the most stable polymorph in this dataset	0	meV per atom
space group	Pmmm (47)
ΔE_f	0.77	eV per atom

=====

[14]
An optimized crystal structure of Ba2SrMo. Source: the Alexandria database, functional PBE.

Lattice parameters (Å, degrees): 7.413 7.061 3.952 80.94 76.51 117.36
Site moments in Bohr magnetons follow the coordinates.
Atoms (fractional coordinates):
Mo  0.000  0.500  0.500  3.14
Ba  0.000  0.000  0.000  -0.06
Ba  0.500  0.000  0.500  -0.06
Sr  0.500  0.500  0.000  -0.03

## Properties
energy above the most stable polymorph in this dataset	223	meV per atom
space group	C2/m (12)
ΔE_f	1.00	eV per atom

=====

[15]
An optimized crystal structure of BaSr2Mo. Source: the Alexandria database, functional PBE.

Lattice parameters (Å, degrees): 6.030 6.030 6.030 60.00 60.00 60.00
Site moments in Bohr magnetons follow the coordinates.
Atoms (fractional coordinates):
Sr  0.750  0.750  0.750  -0.02
Sr  0.250  0.250  0.250  -0.02
Ba  0.500  0.500  0.500  -0.11
Mo  0.000  0.000  0.000  2.91

## Properties
energy above the most stable polymorph in this dataset	101	meV per atom
space group	Fm-3m (225)
ΔE_f	0.85	eV per atom

=====

[16]
An optimized crystal structure of BaSrMo. Source: the Alexandria database, functional PBE.

Lattice parameters (Å, degrees): 7.842 7.842 3.944 75.43 75.44 29.13
Site moments in Bohr magnetons follow the coordinates.
Atoms (fractional coordinates):
Mo  0.669  0.669  0.331  2.39
Ba  0.033  0.033  0.967  0.01
Sr  0.298  0.298  0.702  0.02

## Properties
energy above the most stable polymorph in this dataset	0	meV per atom
space group	I4mm (107)
ΔE_f	0.99	eV per atom

=====

[17]
An optimized crystal structure of Ba2SrMo. Source: the Alexandria database, functional PBE.

Lattice parameters (Å, degrees): 5.611 5.611 5.361 90.00 90.00 90.00
Site moments in Bohr magnetons follow the coordinates.
Atoms (fractional coordinates):
Sr  0.000  0.500  0.500  -0.05
Ba  0.500  0.500  0.000  -0.08
Ba  0.000  0.000  0.000  -0.08
Mo  0.500  0.000  0.500  3.05

## Properties
energy above the most stable polymorph in this dataset	145	meV per atom
space group	P4/mmm (123)
ΔE_f	0.92	eV per atom

=====

[18]
An optimized crystal structure of BaSr3Mo. Source: the Alexandria database, functional PBE.

Lattice parameters (Å, degrees): 5.993 5.993 5.993 90.00 90.00 90.00
Atoms (fractional coordinates):
Sr  0.000  0.500  0.000
Sr  0.000  0.000  0.500
Sr  0.500  0.000  0.000
Ba  0.000  0.000  0.000
Mo  0.500  0.500  0.500

## Properties
energy above the most stable polymorph in this dataset	1352	meV per atom
space group	Pm-3m (221)
ΔE_f	1.99	eV per atom

=====

[19]
An optimized crystal structure of BaSrMo3. Source: the Alexandria database, functional PBE.

Lattice parameters (Å, degrees): 5.176 5.176 5.176 90.00 90.00 90.00
Site moments in Bohr magnetons follow the coordinates.
Atoms (fractional coordinates):
Ba  0.000  0.000  0.000  0.02
Mo  0.000  0.000  0.500  1.19
Mo  0.000  0.500  0.000  1.29
Mo  0.500  0.000  0.000  1.50
Sr  0.500  0.500  0.500  0.04

## Properties
energy above the most stable polymorph in this dataset	0	meV per atom
space group	Pm-3m (221)
ΔE_f	2.54	eV per atom

=====

[20]
An optimized crystal structure of BaSr2Mo. Source: the Alexandria database, functional PBE.

Lattice parameters (Å, degrees): 7.510 7.510 6.316 65.15 65.15 31.34
Site moments in Bohr magnetons follow the coordinates.
Atoms (fractional coordinates):
Mo  0.250  0.250  0.250  2.54
Sr  0.554  0.554  0.446  -0.01
Sr  0.946  0.946  0.054  -0.01
Ba  0.750  0.750  0.750  -0.01

## Properties
energy above the most stable polymorph in this dataset	31	meV per atom
space group	Immm (71)
ΔE_f	0.78	eV per atom